Zr8C2O | PBE | relaxed

extended XYZ file:
```
11
Lattice="4.9335 -0.0766 0.1815 0.1161 6.2342 1.9105 -0.1509 -0.0443 6.5195" Properties=species:S:1:pos:R:3 pbc="T T T"
Zr 3.6135 5.0516 7.0906
Zr 1.2853 1.0618 1.5208
Zr 3.7018 2.3647 3.4357
Zr 1.1060 0.6175 4.6999
Zr 1.1970 3.7487 5.1758
Zr 3.7928 5.4958 3.9116
Zr 1.2597 4.2336 2.0454
Zr 3.6391 1.8798 6.5661
O 0.0000 0.0000 0.0000
C 1.2560 2.3756 3.3088
C 3.6428 3.7378 5.3027
```

## Properties
M_tot: 0.0 μB/f.u.
density of states at the Fermi level: 7.6 states/eV per cell
VASP energy: -100.29 eV for the cell shown